[1]
MgPtW: optimized geometry, PBE-GGA.

Cell and atoms, written as POSCAR:
```
MgPtW
1.0
2.878 0.000 0.000
0.000 3.783 0.000
-0.454 0.000 9.002
Mg Pt W
2 2 2
Direct
0.000 0.000 0.000
0.035 0.000 0.321
0.483 0.500 0.834
0.522 0.500 0.172
0.550 0.500 0.503
0.927 0.000 0.661
```

Results
DFT formation energy	-0.229	eV/atom
SG	No. 6
density	13.66	g cm⁻³
size of the total moment	0.0	μB per formula unit
relative energy among the computed polymorphs	0.0503	eV per atom

***

[2]
Mg2PtW: optimized geometry, PBE-GGA.

Cell and atoms, written as POSCAR:
```
Mg2PtW
1.0
-3.704 3.704 2.670
3.704 -3.704 2.670
3.704 3.704 -2.670
Mg Pt W
4 2 2
Direct
0.097 0.625 0.972
0.375 0.347 0.472
0.653 0.125 0.028
0.875 0.903 0.528
0.000 0.000 0.000
0.750 0.250 0.500
0.250 0.750 0.500
0.500 0.500 0.000
```

Results
DFT formation energy	0.513	eV/atom
SG	No. 122
density	9.69	g cm⁻³
size of the total moment	0.0	μB per formula unit
relative energy among the computed polymorphs	0.6569	eV per atom

***

[3]
MgPtW: optimized geometry, PBE-GGA.

Cell and atoms, written as POSCAR:
```
MgPtW
1.0
4.967 0.000 0.000
0.000 4.687 0.000
0.000 0.000 8.393
Mg Pt W
4 4 4
Direct
0.154 0.250 0.026
0.346 0.750 0.526
0.654 0.250 0.474
0.846 0.750 0.974
0.163 0.250 0.357
0.337 0.750 0.857
0.663 0.250 0.143
0.837 0.750 0.643
0.109 0.250 0.685
0.391 0.750 0.185
0.609 0.250 0.815
0.891 0.750 0.315
```

Results
DFT formation energy	-0.098	eV/atom
SG	No. 62
density	13.71	g cm⁻³
size of the total moment	0.0	μB per formula unit
relative energy among the computed polymorphs	0.1812	eV per atom

***

[4]
Mg2PtW: optimized geometry, PBE-GGA.

Cell and atoms, written as POSCAR:
```
Mg2PtW
1.0
-1.419 2.464 4.840
1.419 -2.464 4.840
1.419 2.464 -4.840
Mg Pt W
2 1 1
Direct
0.233 0.233 0.000
0.767 0.767 0.000
0.000 0.500 0.500
0.500 0.000 0.500
```

Results
DFT formation energy	0.050	eV/atom
SG	No. 71
density	10.49	g cm⁻³
size of the total moment	0.0	μB per formula unit
relative energy among the computed polymorphs	0.1938	eV per atom

***

[5]
MgPtW: optimized geometry, PBE-GGA.

Cell and atoms, written as POSCAR:
```
MgPtW
1.0
-1.392 2.020 4.290
1.392 -2.020 4.290
1.392 2.020 -4.290
Mg Pt W
1 1 1
Direct
0.000 0.000 0.000
0.334 0.334 0.000
0.677 0.677 0.000
```

Results
DFT formation energy	0.048	eV/atom
SG	No. 44
density	13.88	g cm⁻³
size of the total moment	0.0	μB per formula unit
relative energy among the computed polymorphs	0.3267	eV per atom

***

[6]
Mg2PtW: optimized geometry, PBE-GGA.

Cell and atoms, written as POSCAR:
```
Mg2PtW
1.0
0.000 3.218 3.218
3.218 0.000 3.218
3.218 3.218 0.000
Mg Pt W
2 1 1
Direct
0.250 0.250 0.250
0.750 0.750 0.750
0.000 0.000 0.000
0.500 0.500 0.500
```

Results
DFT formation energy	0.259	eV/atom
SG	No. 225
density	10.65	g cm⁻³
size of the total moment	2.4	μB per formula unit
relative energy among the computed polymorphs	0.4025	eV per atom

***

[7]
MgPtW: optimized geometry, PBE-GGA.

Cell and atoms, written as POSCAR:
```
MgPtW
1.0
-1.427 1.427 6.003
1.427 -1.427 6.003
1.427 1.427 -6.003
Mg Pt W
1 1 1
Direct
0.000 0.000 0.000
0.337 0.337 0.000
0.681 0.681 0.000
```

Results
DFT formation energy	-0.133	eV/atom
SG	No. 107
density	13.70	g cm⁻³
size of the total moment	0.0	μB per formula unit
relative energy among the computed polymorphs	0.1459	eV per atom

***

[8]
MgPtW3: optimized geometry, PBE-GGA.

Cell and atoms, written as POSCAR:
```
MgPtW3
1.0
4.821 0.000 0.000
0.000 4.821 0.000
0.000 0.000 4.821
Mg Pt W
1 1 3
Direct
0.000 0.000 0.000
0.500 0.500 0.500
0.000 0.500 0.500
0.500 0.000 0.500
0.500 0.500 0.000
```

Results
DFT formation energy	1.946	eV/atom
SG	No. 221
density	11.43	g cm⁻³
size of the total moment	0.0	μB per formula unit
relative energy among the computed polymorphs	0.0000	eV per atom

***

[9]
Mg2PtW: optimized geometry, PBE-GGA.

Cell and atoms, written as POSCAR:
```
Mg2PtW
1.0
2.788 0.000 0.000
0.000 4.063 0.000
0.000 0.000 5.856
Mg Pt W
2 1 1
Direct
0.000 0.000 0.239
0.000 0.000 0.761
0.500 0.500 0.000
0.500 0.500 0.500
```

Results
DFT formation energy	0.049	eV/atom
SG	No. 47
density	10.70	g cm⁻³
size of the total moment	0.0	μB per formula unit
relative energy among the computed polymorphs	0.1926	eV per atom

***

[10]
Mg2PtW: optimized geometry, PBE-GGA.

Cell and atoms, written as POSCAR:
```
Mg2PtW
1.0
-1.424 2.407 5.099
1.424 -2.407 5.099
1.424 2.407 -5.099
Mg Pt W
2 1 1
Direct
0.000 0.000 0.000
0.711 0.211 0.500
0.230 0.730 0.500
0.451 0.451 0.000
```

Results
DFT formation energy	0.045	eV/atom
SG	No. 44
density	10.16	g cm⁻³
size of the total moment	0.0	μB per formula unit
relative energy among the computed polymorphs	0.1890	eV per atom

***

[11]
Mg2PtW: optimized geometry, PBE-GGA.

Cell and atoms, written as POSCAR:
```
Mg2PtW
1.0
4.838 0.000 0.000
0.000 4.838 0.000
0.000 0.000 2.839
Mg Pt W
2 1 1
Direct
0.000 0.500 0.000
0.500 0.000 0.000
0.000 0.000 0.500
0.500 0.500 0.500
```

Results
DFT formation energy	0.183	eV/atom
SG	No. 123
density	10.68	g cm⁻³
size of the total moment	0.0	μB per formula unit
relative energy among the computed polymorphs	0.3262	eV per atom

***

[12]
MgPt3W: optimized geometry, PBE-GGA.

Cell and atoms, written as POSCAR:
```
MgPt3W
1.0
4.868 0.000 0.000
0.000 4.868 0.000
0.000 0.000 4.868
Mg Pt W
1 3 1
Direct
0.000 0.000 0.000
0.000 0.500 0.500
0.500 0.000 0.500
0.500 0.500 0.000
0.500 0.500 0.500
```

Results
DFT formation energy	0.709	eV/atom
SG	No. 221
density	11.42	g cm⁻³
size of the total moment	0.0	μB per formula unit
relative energy among the computed polymorphs	0.0000	eV per atom